1.
The following is a DFT calculation (PBE-GGA) of crystalline MgI at its relaxed geometry.

Computed properties:
The calculation puts the total energy at -31.30 eV for the cell shown. As for the density of states at the Fermi level: 0.5 states/eV/f.u. As for the magnetic moment: 0.00 μB/f.u. For the raw formation energy, the calculation gives -0.77 eV per formula unit.

a = 9.3761 Å, b = 9.3761 Å, c = 9.3761 Å
α = 90.00°, β = 90.00°, γ = 90.00°
With the nearest neighbours (Å) after each atom.
Atoms (fractional coordinates):
I1 0.7906 0.2094 0.2094  1 Mg 2.82
Mg1 0.8829 0.8829 0.1171  1 I 2.82, 3 Mg 3.10
I2 0.7094 0.7094 0.2906  1 Mg 2.82
I3 0.7094 0.2906 0.7094  1 Mg 2.82
I4 0.2094 0.7906 0.2094  1 Mg 2.82
Mg2 0.3829 0.6171 0.3829  1 I 2.82, 3 Mg 3.10
Mg3 0.1171 0.8829 0.8829  1 I 2.82, 3 Mg 3.10
Mg4 0.6171 0.6171 0.6171  1 I 2.82, 3 Mg 3.10
I5 0.2906 0.2906 0.2906  1 Mg 2.82
I6 0.2906 0.7094 0.7094  1 Mg 2.82
Mg5 0.3829 0.3829 0.6171  1 I 2.82, 3 Mg 3.10
Mg6 0.6171 0.3829 0.3829  1 I 2.82, 3 Mg 3.10
Mg7 0.1171 0.1171 0.1171  1 I 2.82, 3 Mg 3.10
Mg8 0.8829 0.1171 0.8829  1 I 2.82, 3 Mg 3.10
I7 0.7906 0.7906 0.7906  1 Mg 2.82
I8 0.2094 0.2094 0.7906  1 Mg 2.82


2.
The following is a DFT calculation (PBE-GGA) of crystalline MgI3 at its relaxed geometry.

Computed properties:
The calculation puts the total energy at -6.29 eV for the cell shown. As for the density of states at the Fermi level: 9.1 states/eV/f.u. As for the magnetic moment: 0.00 μB/f.u. For the raw formation energy, the calculation gives -0.04 eV per formula unit.

a = 5.7136 Å, b = 5.7136 Å, c = 5.7136 Å
α = 60.00°, β = 60.00°, γ = 60.00°
With the nearest neighbours (Å) after each atom.
Atoms (fractional coordinates):
Mg1 0.0000 0.0000 0.0000  8 I 3.50
I1 0.7500 0.7500 0.7500  4 Mg 3.50, 4 I 3.50
I2 0.5000 0.5000 0.5000  8 I 3.50
I3 0.2500 0.2500 0.2500  4 I 3.50, 4 Mg 3.50


3.
The following is a DFT calculation (PBE-GGA) of crystalline MgI4 at its relaxed geometry.

Computed properties:
The calculation puts the total energy at -9.01 eV for the cell shown. As for the density of states at the Fermi level: 7.1 states/eV/f.u. As for the magnetic moment: 1.73 μB/f.u. For the raw formation energy, the calculation gives -1.21 eV per formula unit.

a = 5.7700 Å, b = 5.7700 Å, c = 5.7700 Å
α = 90.00°, β = 90.00°, γ = 90.00°
With the nearest neighbours (Å) after each atom.
Atoms (fractional coordinates):
I1 0.5000 0.0000 0.5000  2 Mg 2.88
Mg1 0.5000 0.5000 0.5000  6 I 2.88
I2 0.5000 0.5000 0.0000  2 Mg 2.88
I3 0.0000 0.5000 0.5000  2 Mg 2.88
I4 0.0000 0.0000 0.0000  12 I 4.08


4.
The following is a DFT calculation (PBE-GGA) of crystalline MgI at its relaxed geometry.

Computed properties:
The calculation puts the total energy at -14.92 eV for the cell shown. As for the density of states at the Fermi level: 2.0 states/eV/f.u. As for the magnetic moment: 0.00 μB/f.u. For the raw formation energy, the calculation gives -0.58 eV per formula unit.

a = 6.4881 Å, b = 6.4881 Å, c = 6.4881 Å
α = 90.00°, β = 90.00°, γ = 90.00°
With the nearest neighbours (Å) after each atom.
Atoms (fractional coordinates):
I1 0.5000 0.0000 0.5000  6 Mg 3.24
I2 0.0000 0.5000 0.5000  6 Mg 3.24
Mg1 0.0000 0.0000 0.5000  6 I 3.24
I3 0.0000 0.0000 0.0000  6 Mg 3.24
Mg2 0.0000 0.5000 0.0000  6 I 3.24
Mg3 0.5000 0.0000 0.0000  6 I 3.24
I4 0.5000 0.5000 0.0000  6 Mg 3.24
Mg4 0.5000 0.5000 0.5000  6 I 3.24


5.
The following is a DFT calculation (PBE-GGA) of crystalline MgI at its relaxed geometry.

Computed properties:
The calculation puts the total energy at -25.28 eV for the cell shown. As for the density of states at the Fermi level: 0.3 states/eV/f.u. As for the magnetic moment: 0.00 μB/f.u. For the raw formation energy, the calculation gives -1.07 eV per formula unit.

a = 13.5126 Å, b = 4.1942 Å, c = 6.9862 Å
α = 90.00°, β = 90.00°, γ = 90.00°
With the nearest neighbours (Å) after each atom.
Atoms (fractional coordinates):
Mg1 0.6147 0.7446 0.1012  4 I 2.89-3.14, 1 Mg 3.10
Mg2 0.3853 0.7446 0.1012  4 I 2.89-3.14, 1 Mg 3.10
I1 0.2399 0.7539 0.7512  3 Mg 2.89-3.14
I2 0.0000 0.2575 0.9866  4 Mg 3.08-3.11
Mg3 0.0000 0.7582 0.3106  2 I 3.08-3.09, 4 Mg 3.30-3.31
I3 0.5000 0.7425 0.4866  4 Mg 3.08-3.11
I4 0.7601 0.7539 0.7512  3 Mg 2.89-3.14
I5 0.7399 0.2461 0.2512  3 Mg 2.89-3.14
Mg4 0.8853 0.2554 0.6012  4 I 2.89-3.14, 1 Mg 3.10
Mg5 0.1147 0.2554 0.6012  4 I 2.89-3.14, 1 Mg 3.10
I6 0.2601 0.2461 0.2512  3 Mg 2.89-3.14
Mg6 0.5000 0.2418 0.8106  2 I 3.08-3.09, 4 Mg 3.30-3.31


6.
The following is a DFT calculation (PBE-GGA) of crystalline MgI at its relaxed geometry.

Computed properties:
The calculation puts the total energy at -25.06 eV for the cell shown. As for the density of states at the Fermi level: 0.6 states/eV/f.u. As for the magnetic moment: 0.00 μB/f.u. For the raw formation energy, the calculation gives -1.03 eV per formula unit.

a = 4.5279 Å, b = 6.2949 Å, c = 16.1223 Å
α = 90.00°, β = 90.00°, γ = 90.00°
With the nearest neighbours (Å) after each atom.
Atoms (fractional coordinates):
I1 0.0000 0.0165 0.5000  2 Mg 2.80
Mg1 0.5000 0.1467 0.2365  2 Mg 2.95, 1 I 3.11
Mg2 0.5000 0.2776 0.5000  4 I 2.76-2.80
Mg3 0.0000 0.7224 0.0000  4 I 2.76-2.80
Mg4 0.0000 0.8533 0.7365  2 Mg 2.95, 1 I 3.11
I2 0.0000 0.4728 0.8593  1 Mg 2.76
I3 0.5000 0.5272 0.3593  1 Mg 2.76
I4 0.5000 0.5272 0.6407  1 Mg 2.76
Mg5 0.0000 0.8533 0.2635  2 Mg 2.95, 1 I 3.11
I5 0.0000 0.4728 0.1407  1 Mg 2.76
Mg6 0.5000 0.1467 0.7635  2 Mg 2.95, 1 I 3.11
I6 0.5000 0.9835 0.0000  2 Mg 2.80


7.
The following is a DFT calculation (PBE-GGA) of crystalline MgI at its relaxed geometry.

Computed properties:
The calculation puts the total energy at -34.73 eV for the cell shown. As for the density of states at the Fermi level: 0.5 states/eV/f.u. As for the magnetic moment: 0.00 μB/f.u. For the raw formation energy, the calculation gives -1.20 eV per formula unit.

a = 12.2428 Å, b = 12.2428 Å, c = 3.9704 Å
α = 90.00°, β = 90.00°, γ = 90.00°
With the nearest neighbours (Å) after each atom.
Atoms (fractional coordinates):
I1 0.2560 0.5062 0.5000  3 Mg 2.89-2.93
I2 0.7440 0.4938 0.5000  3 Mg 2.89-2.93
I3 0.4938 0.2560 0.5000  3 Mg 2.89-2.93
Mg1 0.9004 0.4118 0.0000  3 I 2.93-3.02, 3 Mg 3.22-3.26
Mg2 0.9070 0.6646 0.5000  3 I 2.89-2.92, 2 Mg 3.22
Mg3 0.5882 0.9004 0.0000  3 I 2.93-3.02, 3 Mg 3.22-3.26
Mg4 0.3355 0.9070 0.5000  3 I 2.89-2.92, 2 Mg 3.22
I4 0.1843 0.8199 0.0000  3 Mg 2.92-3.02
Mg5 0.0930 0.3355 0.5000  3 I 2.89-2.92, 2 Mg 3.22
I5 0.8199 0.8157 0.0000  3 Mg 2.92-3.02
Mg6 0.0996 0.5882 0.0000  3 I 2.93-3.02, 3 Mg 3.22-3.26
I6 0.1801 0.1843 0.0000  3 Mg 2.92-3.02
I7 0.8157 0.1801 0.0000  3 Mg 2.92-3.02
Mg7 0.4118 0.0996 0.0000  3 I 2.93-3.02, 3 Mg 3.22-3.26
I8 0.5062 0.7440 0.5000  3 Mg 2.89-2.93
Mg8 0.6646 0.0930 0.5000  3 I 2.89-2.92, 2 Mg 3.22


8.
The following is a DFT calculation (PBE-GGA) of crystalline Mg5MnI12 at its relaxed geometry.

Computed properties:
The calculation puts the total energy at -52.71 eV for the cell shown. As for the density of states at the Fermi level: 0.0 states/eV/f.u. As for the magnetic moment: 5.00 μB/f.u. For the raw formation energy, the calculation gives -16.97 eV per formula unit.

a = 7.2678 Å, b = 7.2676 Å, c = 15.8352 Å
α = 89.98°, β = 89.96°, γ = 60.00°
With the nearest neighbours (Å) after each atom.
Atoms (fractional coordinates):
Mn1 0.0000 0.0000 0.0000  6 I 2.92-2.93
I1 0.9999 0.3305 0.8950  1 Mn 2.92, 2 Mg 2.95
Mg1 0.1666 0.6669 0.5000  6 I 2.95
I2 0.3309 0.0000 0.1053  1 Mn 2.93, 2 Mg 2.95
I3 0.6691 0.0000 0.8947  1 Mn 2.93, 2 Mg 2.95
I4 0.8330 0.6667 0.6059  3 Mg 2.95
Mg2 0.5000 0.0000 0.5000  6 I 2.95
I5 0.0001 0.6695 0.1050  1 Mn 2.92, 2 Mg 2.95
Mg3 0.6665 0.6670 0.0000  6 I 2.95
I6 0.1663 0.0000 0.6060  3 Mg 2.95
I7 0.1670 0.3333 0.3941  3 Mg 2.95
I8 0.6697 0.3305 0.1050  1 Mn 2.92, 2 Mg 2.95
I9 0.3304 0.6695 0.8950  1 Mn 2.92, 2 Mg 2.95
I10 0.8337 0.0000 0.3940  3 Mg 2.95
I11 0.5003 0.6667 0.3941  3 Mg 2.95
I12 0.4997 0.3333 0.6059  3 Mg 2.95
Mg4 0.8334 0.3331 0.5000  6 I 2.95
Mg5 0.3335 0.3330 0.0000  6 I 2.95


9.
The following is a DFT calculation (PBE-GGA) of crystalline Mg2Mn2I at its relaxed geometry.

Computed properties:
The calculation puts the total energy at -20.36 eV for the cell shown. As for the density of states at the Fermi level: 6.6 states/eV/f.u. As for the magnetic moment: 7.43 μB/f.u. For the raw formation energy, the calculation gives 2.72 eV per formula unit. As for the energy relative to the lowest polymorph listed for this composition: 193 meV per atom.

a = 4.0233 Å, b = 4.0233 Å, c = 7.5152 Å
α = 74.47°, β = 74.47°, γ = 90.00°
With the nearest neighbours (Å) after each atom.
Atoms (fractional coordinates):
Mn1 0.5967 0.5967 0.8065  1 Mn 2.69, 4 Mg 2.93
Mg1 0.2500 0.7500 0.5000  4 Mg 2.84, 4 Mn 2.93
I1 0.0000 0.0000 0.0000  8 Mn 3.15
Mn2 0.4033 0.4033 0.1935  1 Mn 2.69, 4 Mg 2.93
Mg2 0.7500 0.2500 0.5000  4 Mg 2.84, 4 Mn 2.93


10.
The following is a DFT calculation (PBE-GGA) of crystalline MgMnI5 at its relaxed geometry.

Computed properties:
The calculation puts the total energy at -44.77 eV for the cell shown. As for the density of states at the Fermi level: 1.0 states/eV/f.u. As for the magnetic moment: 3.99 μB/f.u. For the raw formation energy, the calculation gives -3.87 eV per formula unit.

a = 7.2924 Å, b = 7.2924 Å, c = 11.5592 Å
α = 98.45°, β = 112.28°, γ = 99.56°
With the nearest neighbours (Å) after each atom.
Atoms (fractional coordinates):
I1 0.6963 0.7507 0.0077  1 Mn 2.66, 1 Mg 2.94
I2 0.7317 0.1736 0.8491  1 Mn 2.71, 1 Mg 2.89
I3 0.3037 0.2493 0.9923  1 Mn 2.66, 1 Mg 2.94
I4 0.9972 0.7472 0.7500  1 Mg 2.78
Mn1 0.0000 0.0000 0.0000  4 I 2.66-2.71
I5 0.0028 0.2528 0.2500  1 Mg 2.78
Mg1 0.7076 0.9576 0.2500  5 I 2.78-2.94
I6 0.7430 0.1886 0.4923  1 Mn 2.66, 1 Mg 2.94
I7 0.2683 0.8264 0.1509  1 Mn 2.71, 1 Mg 2.89
I8 0.3245 0.3826 0.6509  1 Mn 2.71, 1 Mg 2.89
Mg2 0.2924 0.0424 0.7500  5 I 2.78-2.94
I9 0.2570 0.8114 0.5077  1 Mn 2.66, 1 Mg 2.94
Mn2 0.0000 0.5000 0.5000  4 I 2.66-2.71
I10 0.6755 0.6174 0.3491  1 Mn 2.71, 1 Mg 2.89


11.
The following is a DFT calculation (PBE-GGA) of crystalline MgMnI2 at its relaxed geometry.

Computed properties:
The calculation puts the total energy at -13.18 eV for the cell shown. As for the density of states at the Fermi level: 2.7 states/eV/f.u. As for the magnetic moment: 4.75 μB/f.u. For the raw formation energy, the calculation gives 0.69 eV per formula unit. As for the energy relative to the lowest polymorph listed for this composition: 132 meV per atom.

a = 5.3518 Å, b = 5.3518 Å, c = 5.3518 Å
α = 60.00°, β = 60.00°, γ = 60.00°
With the nearest neighbours (Å) after each atom.
Atoms (fractional coordinates):
Mg1 0.0000 0.0000 0.0000  8 I 3.28
I1 0.7500 0.7500 0.7500  4 Mn 3.28, 4 Mg 3.28
Mn1 0.5000 0.5000 0.5000  8 I 3.28
I2 0.2500 0.2500 0.2500  4 Mn 3.28, 4 Mg 3.28


12.
The following is a DFT calculation (PBE-GGA) of crystalline Mg3MnI8 at its relaxed geometry.

Computed properties:
The calculation puts the total energy at -37.06 eV for the cell shown. As for the density of states at the Fermi level: 0.0 states/eV/f.u. As for the magnetic moment: 5.00 μB/f.u. For the raw formation energy, the calculation gives -10.70 eV per formula unit.

a = 8.3872 Å, b = 8.3855 Å, c = 9.2086 Å
α = 117.70°, β = 90.00°, γ = 120.01°
With the nearest neighbours (Å) after each atom.
Atoms (fractional coordinates):
I1 0.7616 0.5232 0.7855  1 Mn 2.92, 2 Mg 2.95
I2 0.2580 0.0196 0.7858  1 Mn 2.92, 2 Mg 2.94-2.95
Mg1 0.0000 0.5000 0.0000  6 I 2.94-2.95
I3 0.2597 0.5195 0.7841  3 Mg 2.94-2.95
I4 0.2384 0.4768 0.2145  1 Mn 2.92, 2 Mg 2.95
Mn1 0.0000 0.0000 0.0000  6 I 2.92
I5 0.7403 0.4805 0.2159  3 Mg 2.94-2.95
Mg2 0.5000 0.5000 0.0000  6 I 2.94-2.95
I6 0.2384 0.9804 0.2142  1 Mn 2.92, 2 Mg 2.94-2.95
Mg3 0.5000 0.0000 0.0000  6 I 2.95
I7 0.7420 0.9804 0.2142  1 Mn 2.92, 2 Mg 2.94-2.95
I8 0.7616 0.0196 0.7858  1 Mn 2.92, 2 Mg 2.94-2.95